Density functional theory data (SCAN) for a crystal of AlWCl2 relaxed with PBEsol.

POSCAR file:
```
AlWCl2
1.0
2.933 0.000 0.000
1.467 5.752 0.272
1.467 1.205 5.631
Cl W Al
2 1 1
direct
0.807 0.693 0.693 Cl
0.942 0.058 0.058 Cl
0.508 0.492 0.492 W
0.242 0.258 0.258 Al
```

Formation energy without anion corrections = 0.188 eV/atom
Electronic total energy = -23.161 eV per atom


Density functional theory data (SCAN) for a crystal of AlWCl relaxed with PBEsol.

POSCAR file:
```
AlWCl
1.0
-1.893 -3.220 2.170
-1.923 -3.215 -2.150
1.762 -3.944 -0.016
Al Cl W
1 1 1
direct
0.000 0.000 0.000 Al
0.500 0.500 0.500 Cl
0.750 0.750 0.750 W
```

Formation energy without anion corrections = 1.418 eV/atom
Electronic total energy = -27.055 eV per atom


Density functional theory data (SCAN) for a crystal of AlWCl2 relaxed with PBEsol.

POSCAR file:
```
AlWCl2
1.0
-0.467 -2.493 -1.587
1.568 -2.475 0.606
-7.145 -4.703 6.672
Cl Al W
2 1 1
direct
0.222 0.222 0.335 Cl
0.778 0.778 0.665 Cl
0.000 0.000 0.000 Al
0.500 0.500 0.500 W
```

Formation energy without anion corrections = 0.164 eV/atom
Electronic total energy = -23.185 eV per atom


Density functional theory data (SCAN) for a crystal of AlWCl2 relaxed with PBEsol.

POSCAR file:
```
AlWCl2
1.0
-2.232 0.636 1.637
-2.672 -0.848 -3.315
-0.310 -5.078 1.549
Cl Al W
2 1 1
direct
0.500 0.000 0.500 Cl
0.000 0.000 0.000 Cl
0.000 0.500 0.500 Al
0.500 0.500 0.000 W
```

Formation energy without anion corrections = 0.437 eV/atom
Electronic total energy = -22.912 eV per atom


Density functional theory data (SCAN) for a crystal of AlW4Cl relaxed with PBEsol.

POSCAR file:
```
AlW4Cl
1.0
-5.191 0.590 -0.759
-3.368 -0.921 3.960
-2.561 4.017 2.276
W Al Cl
4 1 1
direct
0.880 0.373 0.373 W
0.373 0.373 0.880 W
0.373 0.880 0.373 W
0.373 0.373 0.373 W
0.750 0.750 0.750 Al
0.000 0.000 0.000 Cl
```

Formation energy without anion corrections = 1.096 eV/atom
Electronic total energy = -47.984 eV per atom


Density functional theory data (SCAN) for a crystal of Y2AlCl relaxed with PBEsol.

POSCAR file:
```
Y2AlCl
1.0
-1.525 -2.999 0.214
0.268 0.103 3.359
-8.529 4.374 0.546
Y Al Cl
2 1 1
direct
0.500 0.500 0.262 Y
0.000 0.000 0.973 Y
0.000 0.000 0.453 Al
0.500 0.500 0.812 Cl
```

Formation energy without anion corrections = -0.625 eV/atom
Electronic total energy = -18.479 eV per atom


Density functional theory data (SCAN) for a crystal of YAlCl relaxed with PBEsol.

POSCAR file:
```
YAlCl
1.0
-2.304 1.375 4.096
-4.887 0.304 0.076
-2.616 -3.261 2.550
Al Cl Y
1 1 1
direct
0.250 0.250 0.250 Al
0.000 0.000 0.000 Cl
0.500 0.500 0.500 Y
```

Formation energy without anion corrections = 0.139 eV/atom
Electronic total energy = -14.385 eV per atom


Density functional theory data (SCAN) for a crystal of YAl4Cl relaxed with PBEsol.

POSCAR file:
```
YAl4Cl
1.0
-2.226 -4.625 2.000
-1.533 -4.027 -3.432
2.842 -4.716 -0.156
Cl Y Al
1 1 4
direct
0.750 0.750 0.750 Cl
0.000 0.000 0.000 Y
0.878 0.374 0.374 Al
0.374 0.374 0.878 Al
0.374 0.374 0.374 Al
0.374 0.878 0.374 Al
```

Formation energy without anion corrections = -0.244 eV/atom
Electronic total energy = -11.382 eV per atom


Density functional theory data (SCAN) for a crystal of YAlCl2 relaxed with PBEsol.

POSCAR file:
```
YAlCl2
1.0
3.395 0.000 0.000
0.000 4.413 0.000
0.000 0.000 5.604
Cl Y Al
2 1 1
direct
0.000 0.000 0.000 Cl
0.500 0.000 0.500 Cl
0.500 0.500 0.000 Y
0.000 0.500 0.500 Al
```

Formation energy without anion corrections = -1.090 eV/atom
Electronic total energy = -13.978 eV per atom


Density functional theory data (SCAN) for a crystal of YAlCl relaxed with PBEsol.

POSCAR file:
```
YAlCl
1.0
3.631 0.000 0.000
0.000 4.664 0.000
0.000 -2.332 4.039
Y Cl Al
1 1 1
direct
0.000 0.667 0.333 Y
0.000 0.333 0.667 Cl
0.500 0.000 0.000 Al
```

Formation energy without anion corrections = -0.613 eV/atom
Electronic total energy = -15.138 eV per atom


Density functional theory data (SCAN) for a crystal of YAl2Cl relaxed with PBEsol.

POSCAR file:
```
YAl2Cl
1.0
3.872 0.000 0.000
0.000 3.872 0.000
-1.936 -1.936 5.391
Al Y Cl
2 1 1
direct
0.250 0.750 0.500 Al
0.750 0.250 0.500 Al
0.000 0.000 0.000 Y
0.500 0.500 0.000 Cl
```

Formation energy without anion corrections = -0.495 eV/atom
Electronic total energy = -13.326 eV per atom


Density functional theory data (SCAN) for a crystal of YAl2Cl relaxed with PBEsol.

POSCAR file:
```
YAl2Cl
1.0
-0.648 -1.019 3.087
4.232 -0.485 0.728
-0.271 6.133 0.188
Al Y Cl
2 1 1
direct
0.763 0.764 0.527 Al
0.237 0.236 0.473 Al
0.500 0.000 0.000 Y
0.000 0.500 0.000 Cl
```

Formation energy without anion corrections = -0.566 eV/atom
Electronic total energy = -13.397 eV per atom


Density functional theory data (SCAN) for a crystal of YAlCl2 relaxed with PBEsol.

POSCAR file:
```
YAlCl2
1.0
-0.820 -3.296 -0.183
1.277 -0.607 5.204
-4.229 2.772 0.632
Y Cl Al
1 2 1
direct
0.500 0.000 0.000 Y
0.794 0.776 0.589 Cl
0.206 0.224 0.411 Cl
0.000 0.500 0.000 Al
```

Formation energy without anion corrections = -1.190 eV/atom
Electronic total energy = -14.078 eV per atom


Density functional theory data (SCAN) for a crystal of YAlCl2 relaxed with PBEsol.

POSCAR file:
```
YAlCl2
1.0
-2.584 2.198 -0.176
-1.744 0.343 -2.895
-7.444 -5.985 1.784
Cl Al Y
2 1 1
direct
0.232 0.232 0.305 Cl
0.768 0.768 0.695 Cl
0.000 0.000 0.000 Al
0.500 0.500 0.500 Y
```

Formation energy without anion corrections = -1.144 eV/atom
Electronic total energy = -14.032 eV per atom


Density functional theory data (SCAN) for a crystal of Al2ZnCl relaxed with PBEsol.

POSCAR file:
```
Al2ZnCl
1.0
3.951 0.000 0.000
0.000 3.951 0.000
0.000 0.000 4.917
Al Cl Zn
2 1 1
direct
0.000 0.500 0.000 Al
0.500 0.000 0.000 Al
0.500 0.500 0.500 Cl
0.000 0.000 0.500 Zn
```

Formation energy without anion corrections = 0.251 eV/atom
Electronic total energy = -8.998 eV per atom


Density functional theory data (SCAN) for a crystal of ZrAlCl2 relaxed with PBEsol.

POSCAR file:
```
ZrAlCl2
1.0
3.268 0.000 0.000
0.000 4.857 0.000
-1.634 0.000 4.760
Cl Al Zr
2 1 1
direct
0.026 0.000 0.052 Cl
0.444 0.500 0.888 Cl
0.706 0.500 0.412 Al
0.315 0.000 0.631 Zr
```

Formation energy without anion corrections = -0.878 eV/atom
Electronic total energy = -14.479 eV per atom


Density functional theory data (SCAN) for a crystal of ZrAlCl2 relaxed with PBEsol.

POSCAR file:
```
ZrAlCl2
1.0
-2.427 1.695 -0.904
-0.486 -1.951 -2.353
-5.266 -4.826 5.089
Al Zr Cl
1 1 2
direct
0.500 0.500 0.500 Al
0.500 0.500 0.000 Zr
0.000 0.000 0.825 Cl
0.000 0.000 0.175 Cl
```

Formation energy without anion corrections = -0.769 eV/atom
Electronic total energy = -14.371 eV per atom


Density functional theory data (SCAN) for a crystal of ZrAlCl2 relaxed with PBEsol.

POSCAR file:
```
ZrAlCl2
1.0
3.262 0.000 0.002
0.000 4.464 0.000
-0.153 0.000 5.281
Cl Al Zr
2 1 1
direct
0.692 0.000 0.744 Cl
0.308 0.000 0.256 Cl
0.000 0.500 0.000 Al
0.500 0.500 0.500 Zr
```

Formation energy without anion corrections = -0.719 eV/atom
Electronic total energy = -14.320 eV per atom


Density functional theory data (SCAN) for a crystal of AlCo5 relaxed with PBEsol.

POSCAR file:
```
AlCo5
1.0
2.565 0.000 0.000
0.000 2.565 0.000
0.000 0.000 9.800
Co Al
5 1
direct
0.500 0.500 0.667 Co
0.000 0.000 0.173 Co
0.500 0.500 0.333 Co
0.000 0.000 0.827 Co
0.000 0.000 0.500 Co
0.500 0.500 0.000 Al
```

Calculated formation energy = -53.6 kJ/mol of formula units
Electronic total energy = -15.805 eV per atom


Density functional theory data (SCAN) for a crystal of Al2Co relaxed with PBEsol.

POSCAR file:
```
Al2Co
1.0
3.906 0.000 0.000
0.000 5.054 0.000
0.000 0.000 7.792
Co Al
4 8
direct
0.250 0.218 0.848 Co
0.750 0.282 0.348 Co
0.750 0.782 0.152 Co
0.250 0.718 0.652 Co
0.750 0.930 0.813 Al
0.750 0.331 0.040 Al
0.750 0.430 0.687 Al
0.250 0.169 0.540 Al
0.250 0.070 0.187 Al
0.250 0.570 0.313 Al
0.250 0.669 0.960 Al
0.750 0.831 0.460 Al
```

Calculated formation energy = -116.9 kJ/mol of formula units
Electronic total energy = -11.340 eV per atom